## Cs2Tl17 (PBE)

Data for a geometry-optimized Cs2Tl17 structure.

E_form: -0.03 eV/atom

Cell lengths 11.5301, 11.5301, 17.1561 Å; angles 90.00, 90.00, 120.00 degrees
Space group R-3m (No. 166, hexagonal axes)
Asymmetric unit:
1 Cs 0.0000 0.0000 0.1612 x6
2 Tl 0.0000 0.0000 0.4025 x6
3 Tl 0.0000 0.2897 0.5000 x18
4 Tl 0.0000 0.5000 0.0000 x9
5 Tl 0.0011 0.5006 0.6462 x18